Record 1
{"formula": "Y2BeSi", "functional": "PBE", "state": "relaxed", "crystal_system": "orthorhombic", "dft_energy_ev_per_atom": -6.00, "sg": "Amm2, No. 38", "e_form_raw_ev_per_atom": -0.483, "lattice": [[3.880, 0.000, 0.000], [0.000, 2.078, 5.335], [0.000, -2.078, 5.335]], "species": ["Y", "Y", "Be", "Si"], "fractional_positions": [[0.000, 0.000, 0.000], [0.500, 0.283, 0.283], [0.000, 0.700, 0.700], [0.500, 0.580, 0.580]]}



Record 2
{"formula": "Mn2CrSb", "functional": "PBE", "state": "relaxed", "crystal_system": "trigonal", "dft_energy_ev_per_atom": -7.57, "sg": "R-3m, No. 166", "e_form_raw_ev_per_atom": 0.454, "lattice": [[1.525, 0.881, 8.046], [-1.525, 0.881, 8.046], [0.000, -1.761, 8.046]], "species": ["Mn", "Mn", "Cr", "Sb"], "fractional_positions": [[0.239, 0.239, 0.239], [0.761, 0.761, 0.761], [0.500, 0.500, 0.500], [0.000, 0.000, 0.000]]}



Record 3
{"formula": "Gd2GaCu", "functional": "PBE", "state": "relaxed", "crystal_system": "tetragonal", "dft_energy_ev_per_atom": -9.22, "sg": "P4/mmm, No. 123", "delta_e_f_ev_per_atom": -0.403, "lattice": [[3.506, 0.000, 0.000], [0.000, 3.506, 0.000], [0.000, 0.000, 7.365]], "species": ["Gd", "Gd", "Ga", "Cu"], "fractional_positions": [[0.000, 0.000, 0.241], [0.000, 0.000, 0.759], [0.500, 0.500, 0.500], [0.500, 0.500, 0.000]]}